# 1
Entry from the Alexandria database: a geometry-optimized YTlSb structure (GGA-PBE).

Results
spin magnetization: 0.000 μB per atom
ΔE_f (raw): -27 kJ/mol of atoms
E above lowest polymorph: 5.59 kcal/mol of atoms

a b c (Å): 5.1607 5.1607 3.7171
angles (deg): 90.00 90.00 120.00
Positions (direct):
Tl 0.6667 0.3333 0.2882
Sb 0.0000 0.0000 0.0505
Y 0.3333 0.6667 0.6613


# 2
Entry from the Alexandria database: a geometry-optimized YTl2Sb structure (GGA-PBE).

Results
spin magnetization: 0.000 μB per atom
ΔE_f (raw): -6 kJ/mol of atoms
E above lowest polymorph: 7.13 kcal/mol of atoms

a b c (Å): 5.4648 5.4648 5.4648
angles (deg): 60.00 60.00 60.00
Positions (direct):
Tl 0.7500 0.7500 0.7500
Tl 0.2500 0.2500 0.2500
Y 0.0000 0.0000 0.0000
Sb 0.5000 0.5000 0.5000